No. 1
Density functional theory data (PBE-GGA) for a relaxed structure of Cu3Ag7.

Lattice parameters (Å, degrees): 11.696 11.696 4.900 93.94 93.94 14.19
Fractional positions:
Cu (0.000, 0.000, 0.000)
Cu (0.406, 0.406, 0.805)
Cu (0.594, 0.594, 0.195)
Ag (0.097, 0.097, 0.711)
Ag (0.195, 0.195, 0.396)
Ag (0.302, 0.302, 0.099)
Ag (0.500, 0.500, 0.500)
Ag (0.698, 0.698, 0.901)
Ag (0.805, 0.805, 0.604)
Ag (0.903, 0.903, 0.289)



No. 2
Density functional theory data (PBE-GGA) for a relaxed structure of Cu3Ag7.

Lattice parameters (Å, degrees): 9.810 9.810 5.852 98.68 98.68 16.89
Fractional positions:
Cu (0.000, 0.000, 0.000)
Cu (0.000, 0.000, 0.440)
Cu (0.586, 0.586, 0.263)
Ag (0.185, 0.185, 0.558)
Ag (0.186, 0.186, 0.068)
Ag (0.401, 0.401, 0.170)
Ag (0.411, 0.411, 0.676)
Ag (0.580, 0.580, 0.761)
Ag (0.795, 0.795, 0.864)
Ag (0.796, 0.796, 0.373)



No. 3
Density functional theory data (PBE-GGA) for a relaxed structure of Cu5Ag3.

Lattice parameters (Å, degrees): 4.673 4.707 5.492 106.95 90.04 100.89
Fractional positions:
Cu (0.000, 0.000, 0.000)
Cu (0.006, 0.999, 0.478)
Cu (0.239, 0.477, 0.867)
Cu (0.246, 0.470, 0.350)
Cu (0.476, 0.974, 0.233)
Ag (0.479, 0.969, 0.732)
Ag (0.746, 0.496, 0.115)
Ag (0.761, 0.487, 0.608)



No. 4
Density functional theory data (PBE-GGA) for a relaxed structure of CuAg.

Lattice parameters (Å, degrees): 7.319 7.319 4.789 96.18 96.18 141.85
Fractional positions:
Cu (0.000, 0.000, 0.000)
Cu (0.097, 0.903, 0.500)
Cu (0.405, 0.595, 0.000)
Cu (0.703, 0.297, 0.500)
Cu (0.908, 0.092, 0.500)
Ag (0.198, 0.802, 0.000)
Ag (0.300, 0.700, 0.500)
Ag (0.502, 0.498, 0.500)
Ag (0.600, 0.400, 0.000)
Ag (0.810, 0.190, 0.000)



No. 5
Density functional theory data (PBE-GGA) for a relaxed structure of Cu5Ag3.

Lattice parameters (Å, degrees): 6.019 6.019 9.066 127.45 127.45 26.32
Fractional positions:
Cu (0.000, 0.000, 0.000)
Cu (0.138, 0.138, 0.381)
Cu (0.261, 0.261, 0.751)
Cu (0.739, 0.739, 0.249)
Cu (0.862, 0.862, 0.619)
Ag (0.383, 0.383, 0.128)
Ag (0.500, 0.500, 0.500)
Ag (0.617, 0.617, 0.872)



No. 6
Density functional theory data (PBE-GGA) for a relaxed structure of Cu3Ag2.

Lattice parameters (Å, degrees): 7.666 7.666 6.893 102.70 102.70 21.23
Fractional positions:
Cu (0.000, 0.000, 0.000)
Cu (0.004, 0.004, 0.531)
Cu (0.192, 0.192, 0.078)
Cu (0.409, 0.409, 0.711)
Cu (0.426, 0.426, 0.238)
Cu (0.590, 0.590, 0.816)
Ag (0.203, 0.203, 0.641)
Ag (0.603, 0.603, 0.305)
Ag (0.806, 0.806, 0.392)
Ag (0.819, 0.819, 0.951)



No. 7
Density functional theory data (PBE-GGA) for a relaxed structure of Cu3Ag2.

Lattice parameters (Å, degrees): 11.101 11.101 4.714 94.68 94.68 14.42
Fractional positions:
Cu (0.000, 0.000, 0.000)
Cu (0.091, 0.091, 0.708)
Cu (0.287, 0.287, 0.094)
Cu (0.501, 0.501, 0.498)
Cu (0.588, 0.588, 0.182)
Cu (0.688, 0.688, 0.895)
Ag (0.185, 0.185, 0.387)
Ag (0.400, 0.400, 0.799)
Ag (0.790, 0.790, 0.604)
Ag (0.896, 0.896, 0.295)



No. 8
Density functional theory data (PBE-GGA) for a relaxed structure of CuAg.

Lattice parameters (Å, degrees): 2.769 2.769 16.520 90.00 90.00 90.00
Fractional positions:
Cu (0.250, 0.250, 0.048)
Cu (0.250, 0.250, 0.858)
Cu (0.750, 0.750, 0.142)
Cu (0.750, 0.750, 0.952)
Ag (0.250, 0.250, 0.433)
Ag (0.250, 0.250, 0.702)
Ag (0.750, 0.750, 0.298)
Ag (0.750, 0.750, 0.567)



No. 9
Density functional theory data (PBE-GGA) for a relaxed structure of Cu3Ag2.

Lattice parameters (Å, degrees): 9.058 9.058 5.719 98.93 98.93 17.98
Fractional positions:
Cu (0.000, 0.000, 0.000)
Cu (0.007, 0.007, 0.547)
Cu (0.202, 0.202, 0.113)
Cu (0.415, 0.415, 0.718)
Cu (0.424, 0.424, 0.243)
Cu (0.599, 0.599, 0.834)
Ag (0.201, 0.201, 0.637)
Ag (0.596, 0.596, 0.306)
Ag (0.812, 0.812, 0.420)
Ag (0.818, 0.818, 0.939)



No. 10
Density functional theory data (PBE-GGA) for a relaxed structure of CuAg2.

Lattice parameters (Å, degrees): 6.166 6.166 8.711 104.00 104.00 26.71
Fractional positions:
Cu (0.000, 0.000, 0.000)
Cu (0.003, 0.003, 0.304)
Cu (0.353, 0.353, 0.104)
Ag (0.009, 0.009, 0.660)
Ag (0.344, 0.344, 0.779)
Ag (0.349, 0.349, 0.420)
Ag (0.668, 0.668, 0.206)
Ag (0.672, 0.672, 0.534)
Ag (0.675, 0.675, 0.894)



No. 11
Density functional theory data (PBE-GGA) for a relaxed structure of CuAg.

Lattice parameters (Å, degrees): 4.872 4.872 20.012 90.06 90.06 48.69
Fractional positions:
Cu (0.011, 0.011, 0.380)
Cu (0.142, 0.142, 0.517)
Cu (0.266, 0.266, 0.655)
Cu (0.298, 0.298, 0.413)
Cu (0.422, 0.422, 0.552)
Cu (0.447, 0.447, 0.307)
Cu (0.553, 0.553, 0.693)
Cu (0.578, 0.578, 0.448)
Cu (0.702, 0.702, 0.587)
Cu (0.734, 0.734, 0.345)
Cu (0.858, 0.858, 0.483)
Cu (0.989, 0.989, 0.620)
Ag (0.051, 0.051, 0.927)
Ag (0.149, 0.149, 0.781)
Ag (0.151, 0.151, 0.265)
Ag (0.249, 0.249, 0.121)
Ag (0.350, 0.350, 0.976)
Ag (0.452, 0.452, 0.830)
Ag (0.548, 0.548, 0.170)
Ag (0.650, 0.650, 0.024)
Ag (0.751, 0.751, 0.879)
Ag (0.849, 0.849, 0.735)
Ag (0.851, 0.851, 0.219)
Ag (0.949, 0.949, 0.073)



No. 12
Density functional theory data (PBE-GGA) for a relaxed structure of Cu5Ag3.

Lattice parameters (Å, degrees): 17.606 17.606 17.606 8.92 8.92 8.92
Fractional positions:
Cu (0.000, 0.000, 0.000)
Cu (0.124, 0.124, 0.124)
Cu (0.258, 0.258, 0.258)
Cu (0.629, 0.629, 0.629)
Cu (0.753, 0.753, 0.753)
Ag (0.376, 0.376, 0.376)
Ag (0.500, 0.500, 0.500)
Ag (0.881, 0.881, 0.881)



In eV per formula unit, the calculated formation energy values for the records above are, in order, 0.843, 0.495, 0.770, 0.208, 0.721, 0.422, 0.527, 0.324, 0.402, 0.226, 0.097, 0.819.